[1]
The following is a DFT calculation (GGA-PBE) of a relaxed structure of CaPSe2.

a = 3.966 Å, b = 3.966 Å, c = 11.206 Å
α = 90.00°, β = 90.00°, γ = 90.00°
Space group I-4m2 (No. 119)
Asymmetric unit:
Ca1 0.000 0.000 0.000 [2 per cell]
P1 0.000 0.500 0.750 [2 per cell]
Se1 0.000 0.000 0.500 [2 per cell]
Se2 0.000 0.500 0.250 [2 per cell]

## Properties
- Calculated volume: 176 Å³/cell
- E_form (uncorrected): -451 meV/atom

[2]
The following is a DFT calculation (GGA-PBE) of a relaxed structure of HfBeTcS2.

a = 4.846 Å, b = 4.846 Å, c = 4.767 Å
α = 90.00°, β = 90.00°, γ = 90.00°
Space group P4/mmm (No. 123)
Asymmetric unit:
Hf1 0.000 0.000 0.000 [1 per cell]
Be1 0.000 0.000 0.500 [1 per cell]
Tc1 0.500 0.500 0.500 [1 per cell]
S1 0.000 0.500 0.000 [2 per cell]

## Properties
- Calculated volume: 112 Å³/cell
- E_form (uncorrected): 752 meV/atom

[3]
The following is a DFT calculation (GGA-PBE) of a relaxed structure of CeGa2Pd.

a = 4.3012 Å, b = 4.3012 Å, c = 15.2584 Å
α = 90.00°, β = 90.00°, γ = 120.00°
Space group R-3m (No. 166, hexagonal axes)
Asymmetric unit:
Ce1 0.0000 0.0000 0.0000 [3 per cell]
Ga1 0.0000 0.0000 0.2165 [6 per cell]
Pd1 0.0000 0.0000 0.5000 [3 per cell]

## Properties
- ΔH_f (0 K): -0.68 eV per atom
- Calculated volume: 244 Å³/cell

[4]
The following is a DFT calculation (GGA-PBE) of a relaxed structure of K2Pa2Te5.

a = 15.575 Å, b = 6.071 Å, c = 9.315 Å
α = 90.00°, β = 124.43°, γ = 90.00°
Space group C2/m (No. 12)
Asymmetric unit:
K1 0.119 0.000 0.457 [4 per cell]
Pa1 0.109 0.500 0.898 [4 per cell]
Te1 0.000 0.500 0.500 [2 per cell]
Te2 0.122 0.500 0.235 [4 per cell]
Te3 0.147 0.000 0.915 [4 per cell]

## Properties
- Energy relative to the lowest polymorph listed for this composition: 0.091 eV per atom
- Calculated volume: 726 Å³/cell
- E_form (uncorrected): -896 meV/atom

[5]
The following is a DFT calculation (GGA-PBE) of a relaxed structure of MgTlHg.

a = 4.662 Å, b = 4.662 Å, c = 7.324 Å
α = 91.96°, β = 91.79°, γ = 90.00°
Space group P-1 (No. 2)
Asymmetric unit:
Mg1 0.249 0.252 0.000 [2 per cell]
Tl1 0.238 0.735 0.651 [2 per cell]
Hg1 0.264 0.765 0.234 [2 per cell]

## Properties
- Energy relative to the lowest polymorph listed for this composition: 0.006 eV per atom
- ΔH_f (0 K): -0.06 eV per atom
- Calculated volume: 159 Å³/cell

[6]
The following is a DFT calculation (GGA-PBE) of a relaxed structure of HoPuTc4.

a = 7.616 Å, b = 7.616 Å, c = 7.616 Å
α = 90.00°, β = 90.00°, γ = 90.00°
Space group F-43m (No. 216)
Asymmetric unit:
Ho1 0.000 0.000 0.000 [4 per cell]
Pu1 0.250 0.250 0.250 [4 per cell]
Tc1 0.125 0.125 0.625 [16 per cell]

## Properties
- ΔH_f (0 K): -0.05 eV per atom
- Calculated volume: 442 Å³/cell